Below is K2OsCl7 after structural relaxation, with properties calculated at the PBE level.

Cell and atoms, written as POSCAR:
```
K2OsCl7
1.0
8.427 -3.759 0.000
8.427 3.759 0.000
-7.581 0.000 9.315
K Os Cl
4 2 14
Cartesian
-0.879 2.453 8.967 K
6.361 2.453 5.005 K
2.911 -2.453 4.310 K
10.152 -2.453 0.347 K
2.741 1.694 6.986 Os
6.532 -1.694 2.329 Os
-0.459 0.070 2.439 Cl
-4.249 -0.070 7.096 Cl
3.217 1.692 4.679 Cl
0.499 0.966 6.442 Cl
2.264 1.692 9.294 Cl
6.532 0.723 2.329 Cl
4.290 -0.966 1.784 Cl
4.982 0.966 7.531 Cl
2.741 -0.723 6.986 Cl
7.008 -1.692 0.021 Cl
8.773 -0.966 2.873 Cl
6.055 -1.692 4.636 Cl
13.522 0.070 2.219 Cl
9.731 -0.070 6.876 Cl
```

Values from the calculation:
- DFT total energy (Ry per atom) = -0.2591
- SG = No. 15